A relaxed structure of La3Er4Tm2. Source: the Alexandria database, functional PBE-GGA.

Values from the calculation:
total moment	0.000	μB/atom
ΔE_f	111	meV per atom
ΔE to the lowest computed polymorph	0	meV per atom
total DFT energy (no corrections)	-163.92	eV per cell

Cell and atoms, written as CIF:
```
data_La3Er4Tm2
_cell_length_a 16.2872
_cell_length_b 11.7781
_cell_length_c 6.1538
_cell_angle_alpha 90.00
_cell_angle_beta 97.50
_cell_angle_gamma 90.00
_symmetry_space_group_name_H-M 'C 1 2/c 1'
_symmetry_Int_Tables_number 15
loop_
_symmetry_equiv_pos_as_xyz
'x,y,z'
'-x,-y,-z'
'-x,y,-z+1/2'
'x,-y,z+1/2'
'x+1/2,y+1/2,z'
'-x+1/2,-y+1/2,-z'
'-x+1/2,y+1/2,-z+1/2'
'x+1/2,-y+1/2,z+1/2'
loop_
_atom_site_label
_atom_site_fract_x
_atom_site_fract_y
_atom_site_fract_z
La1 0.0000 0.1346 0.2500
La2 0.1672 0.3665 0.0825
Er1 0.0567 0.3768 0.5356
Er2 0.2225 0.1230 0.3702
Tm1 0.1097 0.1222 0.7980
```